[1]
# La2MgNi4P3

A geometry-optimized La2MgNi4P3 structure (PBE, the Alexandria database).

abc: 4.036 4.036 9.868
angles: 90.00 90.00 90.00
Sites, in units of the cell vectors:
La1 0.500 0.000 0.236
La2 0.000 0.500 0.764
Mg1 0.500 0.500 0.500
Ni1 0.500 0.500 0.000
Ni2 0.000 0.000 0.000
Ni3 0.500 0.000 0.643
Ni4 0.000 0.500 0.357
P1 0.000 0.000 0.500
P2 0.500 0.000 0.876
P3 0.000 0.500 0.124

Summary:
Its calculated formation energy is -0.859 eV per atom. The value obtained for the raw total energy is -5.9396 eV/atom. The calculation puts the calculated density at 6.5 Mg/m³. The value obtained for the density of states at the Fermi level is 0.7294 states/eV per atom.

***

[2]
# La2MgNi12P3

A geometry-optimized La2MgNi12P3 structure (PBE, the Alexandria database).

abc: 6.352 6.352 6.352
angles: 83.56 83.56 83.56
Sites, in units of the cell vectors:
La1 0.634 0.634 0.634
La2 0.366 0.366 0.366
Mg1 0.000 0.000 0.000
Ni1 0.360 0.360 0.907
Ni2 0.823 0.823 0.323
Ni3 0.323 0.823 0.823
Ni4 0.907 0.360 0.360
Ni5 0.823 0.323 0.823
Ni6 0.360 0.907 0.360
Ni7 0.640 0.640 0.093
Ni8 0.177 0.177 0.677
Ni9 0.677 0.177 0.177
Ni10 0.093 0.640 0.640
Ni11 0.177 0.677 0.177
Ni12 0.640 0.093 0.640
P1 0.500 0.000 0.000
P2 0.000 0.500 0.000
P3 0.000 0.000 0.500

Summary:
Its calculated formation energy is -0.141 eV per atom. The value obtained for the raw total energy is -5.5333 eV/atom. The calculation puts the calculated density at 7.2 Mg/m³. The value obtained for the density of states at the Fermi level is 0.5163 states/eV per atom.

***

[3]
# LaMgNiPb2

A geometry-optimized LaMgNiPb2 structure (PBE, the Alexandria database).

abc: 6.209 4.743 6.209
angles: 90.00 90.00 90.00
Sites, in units of the cell vectors:
Pb1 0.000 0.000 0.500
Pb2 0.500 0.000 0.000
Ni1 0.000 0.500 0.000
Mg1 0.500 0.500 0.500
La1 0.000 0.000 0.000

Summary:
Its calculated formation energy is 0.759 eV per atom. The value obtained for the raw total energy is -3.1854 eV/atom. The calculation puts the calculated density at 5.8 Mg/m³. The value obtained for the density of states at the Fermi level is 1.0832 states/eV per atom.

***

[4]
# LaMgNiPd

A geometry-optimized LaMgNiPd structure (PBE, the Alexandria database).

abc: 4.863 4.863 4.863
angles: 60.00 60.00 60.00
Sites, in units of the cell vectors:
Ni1 0.750 0.750 0.750
Mg1 0.000 0.000 0.000
Pd1 0.250 0.250 0.250
La1 0.500 0.500 0.500

Summary:
Its calculated formation energy is -0.406 eV per atom. The value obtained for the raw total energy is -4.7800 eV/atom. The calculation puts the calculated density at 6.7 Mg/m³. The value obtained for the density of states at the Fermi level is 0.9163 states/eV per atom.

***

[5]
# LaPrMgNi

A geometry-optimized LaPrMgNi structure (PBE, the Alexandria database).

abc: 5.290 5.290 5.290
angles: 60.00 60.00 60.00
Sites, in units of the cell vectors:
Pr1 0.250 0.250 0.250
Ni1 0.000 0.000 0.000
Mg1 0.500 0.500 0.500
La1 0.750 0.750 0.750

Summary:
Its calculated formation energy is -0.025 eV per atom. The value obtained for the raw total energy is -4.2962 eV/atom. The calculation puts the calculated density at 5.8 Mg/m³. The value obtained for the density of states at the Fermi level is 1.0387 states/eV per atom.

***

[6]
# LaMgNiPt

A geometry-optimized LaMgNiPt structure (PBE, the Alexandria database).

abc: 4.849 4.849 4.849
angles: 60.00 60.00 60.00
Sites, in units of the cell vectors:
Ni1 0.000 0.000 0.000
Mg1 0.750 0.750 0.750
Pt1 0.500 0.500 0.500
La1 0.250 0.250 0.250

Summary:
Its calculated formation energy is -0.533 eV per atom. The value obtained for the raw total energy is -5.1195 eV/atom. The calculation puts the calculated density at 8.6 Mg/m³. The value obtained for the density of states at the Fermi level is 0.8225 states/eV per atom.